VASP calculation (PBE with a Hubbard U) on a relaxed structure of ScMo3O8.

ρ   4.686 g/cm³
ΔE to the lowest computed polymorph   0.7 kJ per mole of atoms
Calculated total energy   -181.27 eV/cell
Crystal system   hexagonal

a = 6.3474 Å, b = 6.3474 Å, c = 9.3583 Å
α = 90.00°, β = 90.00°, γ = 120.00°
Space group P6_3mc (No. 186)
Inequivalent atoms, fractional coordinates:
Sc 0.3333 0.6667 0.0000
Mo 0.1677 0.3354 0.7143
O 0.0000 0.0000 0.3114
O 0.0583 0.5292 0.8364
O 0.1656 0.3311 0.1138
O 0.3333 0.6667 0.6033